Computed, not measured: RbTaRu3 after structural relaxation at the GGA-PBEsol level of DFT.

abc: 4.824 4.824 4.824
angles: 90.00 90.00 90.00
Fractional positions:
1 Rb 0.000 0.000 0.000
2 Ta 0.500 0.500 0.500
3 Ru 0.000 0.500 0.500
4 Ru 0.500 0.000 0.500
5 Ru 0.500 0.500 0.000

Properties
Density ... 8.428 g cm⁻³
Distance to the lowest polymorph of the same formula ... 0 meV per atom

=====

Computed, not measured: RbAlH2 after structural relaxation at the GGA-PBEsol level of DFT.

abc: 5.554 12.256 4.730
angles: 90.00 90.00 90.00
Fractional positions:
1 Rb 0.000 0.150 0.250
2 Rb 0.000 0.850 0.750
3 Rb 0.500 0.350 0.750
4 Rb 0.500 0.650 0.250
5 Al 0.000 0.450 0.250
6 Al 0.000 0.550 0.750
7 Al 0.500 0.050 0.750
8 Al 0.500 0.950 0.250
9 H 0.230 0.360 0.250
10 H 0.230 0.640 0.750
11 H 0.270 0.140 0.750
12 H 0.270 0.860 0.250
13 H 0.730 0.140 0.750
14 H 0.730 0.860 0.250
15 H 0.770 0.360 0.250
16 H 0.770 0.640 0.750

Properties
Electronic total energy ... -3.0823 eV/atom
Density ... 2.361 g cm⁻³

=====

Computed, not measured: ZrIn2Hg after structural relaxation at the GGA-PBEsol level of DFT.

abc: 4.413 4.413 4.310
angles: 90.00 90.00 90.00
Fractional positions:
1 Zr 0.000 0.000 0.000
2 In 0.000 0.500 0.500
3 In 0.500 0.000 0.500
4 Hg 0.500 0.500 0.000

Properties
Electronic total energy ... -4.2112 eV/atom
Density ... 10.314 g cm⁻³

=====

Computed, not measured: BPtC3 after structural relaxation at the GGA-PBEsol level of DFT.

abc: 3.937 3.937 3.937
angles: 90.00 90.00 90.00
Fractional positions:
1 B 0.000 0.000 0.000
2 Pt 0.500 0.500 0.500
3 C 0.000 0.500 0.500
4 C 0.500 0.000 0.500
5 C 0.500 0.500 0.000

Properties
Electronic total energy ... -5.3469 eV/atom
Density ... 6.585 g cm⁻³

=====

Computed, not measured: Be2AlW after structural relaxation at the GGA-PBEsol level of DFT.

abc: 3.708 4.172 6.117
angles: 90.00 90.00 90.00
Fractional positions:
1 Be 0.000 0.000 0.000
2 Be 0.000 0.500 0.157
3 Be 0.500 0.000 0.157
4 Be 0.500 0.500 0.000
5 Al 0.000 0.500 0.737
6 Al 0.500 0.000 0.737
7 W 0.000 0.000 0.419
8 W 0.500 0.500 0.419

Properties
Electronic total energy ... -6.2811 eV/atom
Density ... 8.031 g cm⁻³

=====

Computed, not measured: ZrTiMo2 after structural relaxation at the GGA-PBEsol level of DFT.

abc: 6.421 6.421 6.421
angles: 90.00 90.00 90.00
Fractional positions:
1 Zr 0.000 0.000 0.000
2 Zr 0.000 0.500 0.500
3 Zr 0.500 0.000 0.500
4 Zr 0.500 0.500 0.000
5 Ti 0.000 0.000 0.500
6 Ti 0.000 0.500 0.000
7 Ti 0.500 0.000 0.000
8 Ti 0.500 0.500 0.500
9 Mo 0.250 0.250 0.250
10 Mo 0.250 0.250 0.750
11 Mo 0.250 0.750 0.250
12 Mo 0.250 0.750 0.750
13 Mo 0.750 0.250 0.250
14 Mo 0.750 0.250 0.750
15 Mo 0.750 0.750 0.250
16 Mo 0.750 0.750 0.750

Properties
Electronic total energy ... -10.1972 eV/atom
Density ... 8.302 g cm⁻³

=====

Computed, not measured: LiSbF4 after structural relaxation at the GGA-PBEsol level of DFT.

abc: 6.818 6.818 6.818
angles: 90.00 90.00 90.00
Fractional positions:
1 Li 0.167 0.167 0.167
2 Li 0.333 0.833 0.667
3 Li 0.667 0.333 0.833
4 Li 0.833 0.667 0.333
5 Sb 0.148 0.352 0.648
6 Sb 0.352 0.648 0.148
7 Sb 0.648 0.148 0.352
8 Sb 0.852 0.852 0.852
9 F 0.069 0.621 0.212
10 F 0.121 0.288 0.931
11 F 0.176 0.676 0.824
12 F 0.212 0.069 0.621
13 F 0.288 0.931 0.121
14 F 0.324 0.324 0.324
15 F 0.379 0.712 0.431
16 F 0.431 0.379 0.712
17 F 0.569 0.879 0.788
18 F 0.621 0.212 0.069
19 F 0.676 0.824 0.176
20 F 0.712 0.431 0.379
21 F 0.788 0.569 0.879
22 F 0.824 0.176 0.676
23 F 0.879 0.788 0.569
24 F 0.931 0.121 0.288

Properties
Density ... 4.291 g cm⁻³
Uncorrected formation energy ... -2572 meV/atom

=====

Computed, not measured: Al2ZnOsAu after structural relaxation at the GGA-PBEsol level of DFT.

abc: 4.607 4.607 5.115
angles: 90.00 90.00 90.00
Fractional positions:
1 Al 0.000 0.500 0.000
2 Al 0.500 0.000 0.000
3 Zn 0.000 0.000 0.500
4 Os 0.500 0.500 0.500
5 Au 0.500 0.500 0.000

Properties
Electronic total energy ... -3.9682 eV/atom
Density ... 7.748 g cm⁻³